This record from Alexandria describes an optimized crystal structure of La2PdSF. The functional is PBEsol.

```
data_La2PdSF
_chemical_formula_sum 'La2 Pd1 S1 F1'
_symmetry_space_group_name_H-M 'P 1'
_symmetry_Int_Tables_number 1
_cell_length_a 5.444
_cell_length_b 5.444
_cell_length_c 4.560
_cell_angle_alpha 90.00
_cell_angle_beta 90.00
_cell_angle_gamma 90.00
loop_
_symmetry_equiv_pos_as_xyz
'x,y,z'
loop_
_atom_site_label
_atom_site_fract_x
_atom_site_fract_y
_atom_site_fract_z
_atom_site_occupancy
La1 0.000 0.500 0.000 1
La2 0.500 0.000 0.000 1
Pd1 0.000 0.000 0.000 1
S1 0.000 0.000 0.500 1
F1 0.500 0.500 0.500 1
```

Output
Its space-group type is P4/mmm (123). The value obtained for the electronic total energy is -5.48 eV per atom. The formation energy without anion corrections comes out at -0.891 eV per atom.